# TiPd3 (PBE, optimized geometry)
data_TiPd3
_cell_length_a 6.2767
_cell_length_b 6.2767
_cell_length_c 6.2767
_cell_angle_alpha 90.00
_cell_angle_beta 90.00
_cell_angle_gamma 90.00
_symmetry_space_group_name_H-M 'P 1'
_symmetry_Int_Tables_number 1
_symmetry_space_group_name_Hall 'P 1'
loop_
_atom_site_label
_atom_site_fract_x
_atom_site_fract_y
_atom_site_fract_z
_atom_site_occupancy
Ti1 0.0000 0.0000 0.0000 1
Ti2 0.0000 0.5000 0.5000 1
Ti3 0.5000 0.0000 0.5000 1
Ti4 0.5000 0.5000 0.0000 1
Pd1 0.0000 0.0000 0.5000 1
Pd2 0.0000 0.5000 0.0000 1
Pd3 0.2500 0.2500 0.2500 1
Pd4 0.2500 0.2500 0.7500 1
Pd5 0.2500 0.7500 0.2500 1
Pd6 0.2500 0.7500 0.7500 1
Pd7 0.5000 0.0000 0.0000 1
Pd8 0.5000 0.5000 0.5000 1
Pd9 0.7500 0.2500 0.2500 1
Pd10 0.7500 0.2500 0.7500 1
Pd11 0.7500 0.7500 0.2500 1
Pd12 0.7500 0.7500 0.7500 1
# Formation enthalpy at 0 K in eV/atom: -0.46
# Total moment in μB/f.u.: 0.00
# Density in g/cm³: 9.9

=====

# K2YThTe4 (PBE, optimized geometry)
data_K2YThTe4
_cell_length_a 7.7860
_cell_length_b 4.4783
_cell_length_c 8.7447
_cell_angle_alpha 90.00
_cell_angle_beta 107.09
_cell_angle_gamma 90.00
_symmetry_space_group_name_H-M 'P 1'
_symmetry_Int_Tables_number 1
_symmetry_space_group_name_Hall 'P 1'
loop_
_atom_site_label
_atom_site_fract_x
_atom_site_fract_y
_atom_site_fract_z
_atom_site_occupancy
K1 0.0000 0.0000 0.0000 1
K2 0.5000 0.5000 0.0000 1
Y1 0.0000 0.5000 0.5000 1
Th1 0.5000 0.0000 0.5000 1
Te1 0.2338 0.0000 0.7126 1
Te2 0.2561 0.5000 0.2827 1
Te3 0.7439 0.5000 0.7173 1
Te4 0.7662 0.0000 0.2874 1
# Uncorrected formation energy in eV per formula unit: -10.286
# Total moment in μB/f.u.: 0.00
# Density in g/cm³: 5.2

=====

# Dy3Tm7In2 (PBE, optimized geometry)
data_Dy3Tm7In2
_cell_length_a 10.9996
_cell_length_b 10.9996
_cell_length_c 10.9996
_cell_angle_alpha 34.26
_cell_angle_beta 34.26
_cell_angle_gamma 34.26
_symmetry_space_group_name_H-M 'P 1'
_symmetry_Int_Tables_number 1
_symmetry_space_group_name_Hall 'P 1'
loop_
_atom_site_label
_atom_site_fract_x
_atom_site_fract_y
_atom_site_fract_z
_atom_site_occupancy
Dy1 0.0000 0.0000 0.0000 1
Dy2 0.1440 0.1440 0.1440 1
Dy3 0.8560 0.8560 0.8560 1
Tm1 0.0799 0.5818 0.5818 1
Tm2 0.4182 0.4182 0.9201 1
Tm3 0.4182 0.9201 0.4182 1
Tm4 0.5000 0.5000 0.5000 1
Tm5 0.5818 0.0799 0.5818 1
Tm6 0.5818 0.5818 0.0799 1
Tm7 0.9201 0.4182 0.4182 1
In1 0.3336 0.3336 0.3336 1
In2 0.6664 0.6664 0.6664 1
# Formation enthalpy at 0 K in eV/atom: 0.10
# Total moment in μB/f.u.: 0.00
# Density in g/cm³: 8.4

=====

# NdBiPd3 (PBE, optimized geometry)
data_NdBiPd3
_cell_length_a 6.8423
_cell_length_b 6.8423
_cell_length_c 6.8423
_cell_angle_alpha 131.93
_cell_angle_beta 108.53
_cell_angle_gamma 90.80
_symmetry_space_group_name_H-M 'P 1'
_symmetry_Int_Tables_number 1
_symmetry_space_group_name_Hall 'P 1'
loop_
_atom_site_label
_atom_site_fract_x
_atom_site_fract_y
_atom_site_fract_z
_atom_site_occupancy
Nd1 0.2523 0.0023 0.2500 1
Nd2 0.7477 0.9977 0.7500 1
Bi1 0.0000 0.5000 0.5000 1
Bi2 0.5000 0.5000 0.0000 1
Pd1 0.0518 0.3018 0.7500 1
Pd2 0.3176 0.0000 0.8176 1
Pd3 0.3176 0.5000 0.3176 1
Pd4 0.6824 0.0000 0.1824 1
Pd5 0.6824 0.5000 0.6824 1
Pd6 0.9482 0.6982 0.2500 1
# Formation enthalpy at 0 K in eV/atom: -0.52
# Total moment in μB/f.u.: 0.00
# Density in g/cm³: 10.4

=====

# Hf2MnTlRu (PBE, optimized geometry)
data_Hf2MnTlRu
_cell_length_a 4.8396
_cell_length_b 4.8396
_cell_length_c 4.3997
_cell_angle_alpha 90.00
_cell_angle_beta 90.00
_cell_angle_gamma 90.00
_symmetry_space_group_name_H-M 'P 1'
_symmetry_Int_Tables_number 1
_symmetry_space_group_name_Hall 'P 1'
loop_
_atom_site_label
_atom_site_fract_x
_atom_site_fract_y
_atom_site_fract_z
_atom_site_occupancy
Hf1 0.0000 0.5000 0.0000 1
Hf2 0.5000 0.0000 0.0000 1
Mn1 0.0000 0.0000 0.0000 1
Tl1 0.5000 0.5000 0.5000 1
Ru1 0.0000 0.0000 0.5000 1
# Formation enthalpy at 0 K in eV/atom: 0.42
# Total moment in μB/f.u.: 0.00
# Density in g/cm³: 11.6

=====

# CrTe2I (PBE, optimized geometry)
data_CrTe2I
_cell_length_a 6.0168
_cell_length_b 3.4746
_cell_length_c 11.2920
_cell_angle_alpha 90.00
_cell_angle_beta 100.10
_cell_angle_gamma 90.00
_symmetry_space_group_name_H-M 'P 1'
_symmetry_Int_Tables_number 1
_symmetry_space_group_name_Hall 'P 1'
loop_
_atom_site_label
_atom_site_fract_x
_atom_site_fract_y
_atom_site_fract_z
_atom_site_occupancy
Cr1 0.0000 0.0000 0.0000 1
Cr2 0.5000 0.5000 0.0000 1
Te1 0.2177 0.5000 0.1550 1
Te2 0.2823 0.0000 0.8450 1
Te3 0.7177 0.0000 0.1550 1
Te4 0.7823 0.5000 0.8450 1
I1 0.0000 0.5000 0.5000 1
I2 0.5000 0.0000 0.5000 1
# ΔE to the lowest computed polymorph in eV/atom: 0.2674
# Uncorrected formation energy in eV per formula unit: 0.219
# Total moment in μB/f.u.: 0.00
# Density in g/cm³: 6.2

=====

# GdHoF (PBE, optimized geometry)
data_GdHoF
_cell_length_a 3.7194
_cell_length_b 3.7194
_cell_length_c 5.6356
_cell_angle_alpha 90.00
_cell_angle_beta 90.00
_cell_angle_gamma 120.00
_symmetry_space_group_name_H-M 'P 1'
_symmetry_Int_Tables_number 1
_symmetry_space_group_name_Hall 'P 1'
loop_
_atom_site_label
_atom_site_fract_x
_atom_site_fract_y
_atom_site_fract_z
_atom_site_occupancy
Gd1 0.0000 0.0000 0.0000 1
Ho1 0.6667 0.3333 0.4883 1
F1 0.3333 0.6667 0.7366 1
# Uncorrected formation energy in eV per formula unit: -4.600
# Total moment in μB/f.u.: 7.19
# Density in g/cm³: 8.4

=====

# TeOsBr2 (PBE, optimized geometry)
data_TeOsBr2
_cell_length_a 5.1531
_cell_length_b 13.6011
_cell_length_c 3.7331
_cell_angle_alpha 90.00
_cell_angle_beta 90.00
_cell_angle_gamma 90.00
_symmetry_space_group_name_H-M 'P 1'
_symmetry_Int_Tables_number 1
_symmetry_space_group_name_Hall 'P 1'
loop_
_atom_site_label
_atom_site_fract_x
_atom_site_fract_y
_atom_site_fract_z
_atom_site_occupancy
Te1 0.0000 0.0000 0.0000 1
Te2 0.5000 0.5000 0.0000 1
Os1 0.0000 0.5000 0.0000 1
Os2 0.5000 0.0000 0.0000 1
Br1 0.0000 0.3714 0.5000 1
Br2 0.0000 0.6286 0.5000 1
Br3 0.5000 0.1286 0.5000 1
Br4 0.5000 0.8714 0.5000 1
# ΔE to the lowest computed polymorph in eV/atom: 0.1525
# Uncorrected formation energy in eV per formula unit: 0.878
# Total moment in μB/f.u.: 0.00
# Density in g/cm³: 6.1

=====

N(E_F) values (in states/eV/cell) by entry order: 7.8 4.3 22.0 7.3 3.9 5.4 2.9 4.2.